# 1
A plane-wave DFT calculation with PBE was carried out for CuSbIrW after structural relaxation.

Cell: 4.5096 4.5096 4.5096 Å, 60.00 60.00 60.00°
With the nearest neighbours (Å) after each atom.
Sites, in units of the cell vectors:
Ir1 0.5000 0.5000 0.5000  4 W 2.76, 4 Cu 2.76
W1 0.2500 0.2500 0.2500  4 Sb 2.76, 4 Ir 2.76
Cu1 0.7500 0.7500 0.7500  4 Sb 2.76, 4 Ir 2.76
Sb1 0.0000 0.0000 0.0000  4 Cu 2.76, 4 W 2.76

Properties
- Magnetization: 0.01 μB/cell
- Mass density: 14.37 g/cm3
- Distance to the lowest polymorph of the same formula: 0.000 eV per atom
- Space-group type: F-43m (216)
- Raw total energy: -28.1 eV per formula unit

# 2
A plane-wave DFT calculation with PBE was carried out for AcTaAl after structural relaxation.

Cell: 5.1208 5.1208 5.1208 Å, 60.00 60.00 60.00°
With the nearest neighbours (Å) after each atom.
Sites, in units of the cell vectors:
Al1 0.2500 0.2500 0.2500  4 Ac 3.14
Ta1 0.7500 0.7500 0.7500  4 Ac 3.14
Ac1 0.0000 0.0000 0.0000  4 Ta 3.14, 4 Al 3.14

Properties
- Magnetization: 2.28 μB/cell
- Mass density: 7.61 g/cm3
- Distance to the lowest polymorph of the same formula: 0.797 eV per atom
- Space-group type: F-43m (216)
- Raw total energy: -15.1 eV per formula unit

# 3
A plane-wave DFT calculation with PBE was carried out for Lu4Zr2Cu3C3 after structural relaxation.

Cell: 5.8632 5.8632 14.7453 Å, 79.04 79.04 60.05°
With the nearest neighbours (Å) after each atom.
Sites, in units of the cell vectors:
Lu1 0.8101 0.9639 0.0921  3 C 2.38-2.43
C1 0.3467 0.8062 0.4999  2 Zr 2.26, 4 Lu 2.38-2.43
C2 0.8062 0.3467 0.0000  2 Zr 2.26, 4 Lu 2.38-2.43
C3 0.0000 0.5000 0.5000  2 Zr 2.31, 4 Lu 2.38
Lu2 0.3036 0.1300 0.5922  3 C 2.38-2.43
Zr1 0.5285 0.3559 0.9103  3 C 2.26-2.31
C4 0.6533 0.1938 0.5001  2 Zr 2.26, 4 Lu 2.38-2.43
C5 0.5000 0.0000 0.0000  2 Zr 2.31, 4 Lu 2.38
Cu1 0.1007 0.4178 0.7501  4 Lu 2.82-2.86, 4 Cu 2.92-2.95
Lu3 0.6964 0.8700 0.4078  3 C 2.38-2.43
Lu4 0.1899 0.0361 0.9079  3 C 2.38-2.43
Cu2 0.9324 0.0676 0.2500  4 Lu 2.81-2.83, 4 Cu 2.92-2.95
Cu3 0.4178 0.1007 0.2501  4 Lu 2.82-2.86, 4 Cu 2.92-2.95
Lu5 0.0361 0.1899 0.4079  3 C 2.38-2.43
Cu4 0.5822 0.8993 0.7499  4 Lu 2.82-2.86, 4 Cu 2.92-2.95
Zr2 0.4715 0.6441 0.0897  3 C 2.26-2.31
C6 0.1938 0.6533 0.0000  2 Zr 2.26, 4 Lu 2.38-2.43
Cu5 0.8993 0.5822 0.2499  4 Lu 2.82-2.86, 4 Cu 2.92-2.95
Cu6 0.0676 0.9324 0.7500  4 Lu 2.81-2.83, 4 Cu 2.92-2.95
Zr3 0.3559 0.5285 0.4103  3 C 2.26-2.31
Lu6 0.1300 0.3036 0.0922  3 C 2.38-2.43
Zr4 0.6441 0.4715 0.5897  3 C 2.26-2.31
Lu7 0.9639 0.8101 0.5921  3 C 2.38-2.43
Lu8 0.8700 0.6964 0.9078  3 C 2.38-2.43

Properties
- Magnetization: 0.01 μB/cell
- Mass density: 8.60 g/cm3
- Space-group type: C2/c (15)
- Raw total energy: -76.8 eV per formula unit

# 4
A plane-wave DFT calculation with PBE was carried out for AcCdNi after structural relaxation.

Cell: 5.1070 5.1070 5.1070 Å, 60.00 60.00 60.00°
With the nearest neighbours (Å) after each atom.
Sites, in units of the cell vectors:
Ac1 0.0000 0.0000 0.0000  4 Ni 3.13, 4 Cd 3.13
Ni1 0.7500 0.7500 0.7500  4 Ac 3.13
Cd1 0.2500 0.2500 0.2500  4 Ac 3.13

Properties
- Magnetization: 0.00 μB/cell
- Mass density: 7.02 g/cm3
- Distance to the lowest polymorph of the same formula: 0.621 eV per atom
- Formation enthalpy at 0 K: 10.23 kcal/mol of atoms
- Space-group type: F-43m (216)
- Raw total energy: -9.2 eV per formula unit

# 5
A plane-wave DFT calculation with PBE was carried out for PrHoCuSi3 after structural relaxation.

Cell: 8.1260 8.0569 5.7953 Å, 69.66 68.38 41.97°
With the nearest neighbours (Å) after each atom.
Sites, in units of the cell vectors:
Si1 0.3409 0.8309 0.6591  1 Cu 2.28, 2 Si 2.37-2.40
Si2 0.1691 0.6591 0.8309  1 Cu 2.28, 2 Si 2.37-2.40
Cu1 0.3321 0.3321 0.6679  3 Si 2.26-2.28
Pr1 0.7561 0.2439 0.7561  10 Si 3.12-3.14, 2 Cu 3.17
Pr2 0.2439 0.7561 0.2439  10 Si 3.12-3.14, 2 Cu 3.17
Ho1 0.2500 0.2500 0.2500  8 Si 3.10, 4 Cu 3.12
Ho2 0.7500 0.7500 0.7500  8 Si 3.10, 4 Cu 3.12
Si3 0.6591 0.1691 0.3409  1 Cu 2.28, 2 Si 2.37-2.40
Cu2 0.6679 0.6679 0.3321  3 Si 2.26-2.28
Si4 0.8299 0.8299 0.1701  1 Cu 2.26, 2 Si 2.37
Si5 0.1701 0.1701 0.8299  1 Cu 2.26, 2 Si 2.37
Si6 0.8309 0.3409 0.1691  1 Cu 2.28, 2 Si 2.37-2.40

Properties
- Magnetization: 0.01 μB/cell
- Mass density: 6.43 g/cm3
- Distance to the lowest polymorph of the same formula: 0.000 eV per atom
- Space-group type: Fmmm (69)
- Raw total energy: -33.7 eV per formula unit

# 6
A plane-wave DFT calculation with PBE was carried out for Au2F3 after structural relaxation.

Cell: 5.8344 5.8344 6.2853 Å, 117.65 62.35 120.00°
With the nearest neighbours (Å) after each atom.
Sites, in units of the cell vectors:
F1 0.7500 0.9053 0.7500  4 Au 2.28-2.46
Au1 0.3385 0.6615 0.9845  6 F 2.28-2.46
F2 0.5947 0.7500 0.2500  4 Au 2.28-2.46
F3 0.0947 0.5947 0.7500  4 Au 2.28-2.46
F4 0.9053 0.4053 0.2500  4 Au 2.28-2.46
Au2 0.8385 0.1615 0.4845  6 F 2.28-2.46
F5 0.2500 0.0947 0.2500  4 Au 2.28-2.46
Au3 0.1615 0.8385 0.5155  6 F 2.28-2.46
F6 0.4053 0.2500 0.7500  4 Au 2.28-2.46
Au4 0.6615 0.3385 0.0155  6 F 2.28-2.46

Properties
- Mass density: 9.57 g/cm3
- Space-group type: R-3c (167)
- Raw total energy: -14.6 eV per formula unit

# 7
A plane-wave DFT calculation with PBE was carried out for PaRe2O4 after structural relaxation.

Cell: 6.4223 6.4223 6.4223 Å, 119.99 90.01 119.99°
With the nearest neighbours (Å) after each atom.
Sites, in units of the cell vectors:
Re1 0.3750 0.2500 0.6250  6 O 2.11
O1 0.1443 0.2887 0.4330  3 Re 2.11, 1 Pa 2.27
Pa1 0.0000 0.0000 0.0000  4 O 2.27
Pa2 0.7500 0.5000 0.2500  4 O 2.27
O2 0.6056 0.2113 0.3943  3 Re 2.11, 1 Pa 2.27
Re2 0.8750 0.2500 0.6250  6 O 2.11
Re3 0.3750 0.7500 0.1250  6 O 2.11
O3 0.1444 0.2887 0.8557  3 Re 2.11, 1 Pa 2.27
O4 0.6057 0.7887 0.3944  3 Re 2.11, 1 Pa 2.27
O5 0.1443 0.7113 0.8556  3 Re 2.11, 1 Pa 2.27
O6 0.5670 0.7113 0.8557  3 Re 2.11, 1 Pa 2.27
O7 0.6057 0.2113 0.8170  3 Re 2.11, 1 Pa 2.27
Re4 0.3750 0.7500 0.6250  6 O 2.11
O8 0.1830 0.7887 0.3943  3 Re 2.11, 1 Pa 2.27

Properties
- Magnetization: 7.95 μB/cell
- Mass density: 11.83 g/cm3
- Space-group type: Fd-3m (227)
- Raw total energy: -59.3 eV per formula unit

# 8
A plane-wave DFT calculation with PBE was carried out for IrF5 after structural relaxation.

Cell: 4.5772 4.5772 4.5772 Å, 100.81 100.81 128.67°
With the nearest neighbours (Å) after each atom.
Sites, in units of the cell vectors:
Ir1 0.0000 0.0000 0.0000  6 F 1.88-1.98
F1 0.8976 0.3047 0.2023  1 Ir 1.88
F2 0.5000 0.5000 0.0000  2 Ir 1.98
F3 0.3047 0.1024 0.4071  1 Ir 1.88
F4 0.6953 0.8976 0.5929  1 Ir 1.88
F5 0.1024 0.6953 0.7977  1 Ir 1.88

Properties
- Magnetization: 2.38 μB/cell
- Mass density: 7.07 g/cm3
- Distance to the lowest polymorph of the same formula: 0.050 eV per atom
- Space-group type: I4/m (87)
- Raw total energy: -25.7 eV per formula unit

# 9
A plane-wave DFT calculation with PBE was carried out for TlRe3N5 after structural relaxation.

Cell: 5.2597 5.2597 5.8527 Å, 90.00 90.00 120.00°
With the nearest neighbours (Å) after each atom.
Sites, in units of the cell vectors:
N1 0.6667 0.3333 0.7284  3 Re 2.02
N2 0.0000 0.0000 0.5000  6 Re 2.63, 2 Tl 2.93
Re1 0.0000 0.5000 0.5000  4 N 2.02
Re2 0.5000 0.5000 0.5000  4 N 2.02
N3 0.3333 0.6667 0.7284  3 Re 2.02
Tl1 0.0000 0.0000 0.0000  2 N 2.93
N4 0.3333 0.6667 0.2716  3 Re 2.02
N5 0.6667 0.3333 0.2716  3 Re 2.02
Re3 0.5000 0.0000 0.5000  4 N 2.02

Properties
- Magnetization: 0.13 μB/cell
- Mass density: 9.87 g/cm3
- Space-group type: P6/mmm (191)
- Raw total energy: -72.0 eV per formula unit

# 10
A plane-wave DFT calculation with PBE was carried out for LiSmW after structural relaxation.

Cell: 4.4643 4.4643 4.4643 Å, 60.00 60.00 60.00°
With the nearest neighbours (Å) after each atom.
Sites, in units of the cell vectors:
W1 0.7500 0.7500 0.7500  4 Li 2.73
Sm1 0.2500 0.2500 0.2500  4 Li 2.73
Li1 0.0000 0.0000 0.0000  4 Sm 2.73, 4 W 2.73

Properties
- Magnetization: 0.08 μB/cell
- Mass density: 9.00 g/cm3
- Distance to the lowest polymorph of the same formula: 0.000 eV per atom
- Space-group type: F-43m (216)
- Raw total energy: -15.8 eV per formula unit

# 11
A plane-wave DFT calculation with PBE was carried out for HoTmH2Br4 after structural relaxation.

Cell: 3.7898 3.7898 14.7496 Å, 90.00 90.00 120.00°
With the nearest neighbours (Å) after each atom.
Sites, in units of the cell vectors:
Br1 0.3333 0.6667 0.1296  3 H 2.91, 3 Ho 2.91
Ho1 0.0000 0.0000 0.0000  3 H 2.19
Br2 0.6667 0.3333 0.6284  3 H 2.89, 3 Tm 2.89
Br3 0.3333 0.6667 0.8704  3 H 2.91, 3 Ho 2.91
Tm1 0.0000 0.0000 0.5000  3 H 2.19
H1 0.6667 0.3333 0.0000  3 Ho 2.19
Br4 0.6667 0.3333 0.3716  3 H 2.89, 3 Tm 2.89
H2 0.3333 0.6667 0.5000  3 Tm 2.19

Properties
- Magnetization: 0.00 μB/cell
- Mass density: 5.93 g/cm3
- Space-group type: P-6m2 (187)
- Raw total energy: -34.5 eV per formula unit

# 12
A plane-wave DFT calculation with PBE was carried out for Os2Br after structural relaxation.

Cell: 5.3215 5.3215 5.3215 Å, 60.00 60.00 60.00°
With the nearest neighbours (Å) after each atom.
Sites, in units of the cell vectors:
Os1 0.6250 0.1250 0.6250  6 Os 2.66
Os2 0.6250 0.6250 0.6250  6 Os 2.66
Os3 0.6250 0.6250 0.1250  6 Os 2.66
Os4 0.1250 0.6250 0.6250  6 Os 2.66
Br1 0.2500 0.2500 0.2500  12 Os 3.12, 4 Br 3.26
Br2 0.0000 0.0000 0.0000  12 Os 3.12, 4 Br 3.26

Properties
- Magnetization: 1.61 μB/cell
- Mass density: 14.35 g/cm3
- Distance to the lowest polymorph of the same formula: 0.000 eV per atom
- Space-group type: Fd-3m (227)
- Raw total energy: -18.6 eV per formula unit

Question: The lowest mass density belongs to which entry?
Answer: HoTmH2Br4

Question: Which value of mass density does entry 2 give?
Answer: 7.61 g/cm3